Entry 1:
Density functional theory data (PBE) for crystalline CuSbPd6 at its relaxed geometry.

Unit cell a=8.562 b=4.126 c=8.045 alpha=90.00 beta=118.10 gamma=90.00
Space group C2/m (No. 12)
Unique sites:
Cu 0.000 0.000 0.000 (multiplicity 2)
Sb 0.000 0.000 0.500 (multiplicity 2)
Pd 0.003 0.500 0.236 (multiplicity 4)
Pd 0.242 0.000 0.875 (multiplicity 4)
Pd 0.248 0.500 0.628 (multiplicity 4)

E_tot, eV/atom: -5.165
ΔE_f (raw), eV/atom: -0.24
DOS(E_F), states/eV per cell: 12.31
Energy relative to the lowest polymorph listed for this composition, kJ/mol of atoms: 0.0

Entry 2:
Density functional theory data (PBE) for crystalline CuSbPd at its relaxed geometry.

Unit cell a=4.3637 b=4.3637 c=3.1805 alpha=90.00 beta=90.00 gamma=120.00
Space group P3m1 (No. 156)
Unique sites:
Cu 0.0000 0.0000 0.0000 (multiplicity 1)
Sb 0.3333 0.6667 0.7319 (multiplicity 1)
Pd 0.6667 0.3333 0.3419 (multiplicity 1)

E_tot, eV/atom: -4.527
ΔE_f (raw), eV/atom: -0.06
DOS(E_F), states/eV per cell: 1.23

Entry 3:
Density functional theory data (PBE) for crystalline Cu2SbPd8 at its relaxed geometry.

Unit cell a=14.005 b=4.067 c=6.121 alpha=90.00 beta=105.06 gamma=90.00
Space group C2/m (No. 12)
Unique sites:
Cu 0.226 0.000 0.140 (multiplicity 4)
Sb 0.000 0.500 0.500 (multiplicity 2)
Pd 0.046 0.000 0.231 (multiplicity 4)
Pd 0.097 0.500 0.961 (multiplicity 4)
Pd 0.146 0.000 0.703 (multiplicity 4)
Pd 0.182 0.500 0.419 (multiplicity 4)

E_tot, eV/atom: -5.096
ΔE_f (raw), eV/atom: -0.20
DOS(E_F), states/eV per cell: 17.82
Energy relative to the lowest polymorph listed for this composition, kJ/mol of atoms: 0.0

Entry 4:
Density functional theory data (PBE) for crystalline CuSb2Pd at its relaxed geometry.

Unit cell a=3.2951 b=3.2951 c=27.3485 alpha=90.00 beta=90.00 gamma=120.00
Space group R-3m (No. 166, hexagonal axes)
Unique sites:
Cu 0.0000 0.0000 0.0000 (multiplicity 3)
Sb 0.0000 0.0000 0.4055 (multiplicity 6)
Pd 0.0000 0.0000 0.5000 (multiplicity 3)

E_tot, eV/atom: -4.201
ΔE_f (raw), eV/atom: 0.18
DOS(E_F), states/eV per cell: 7.27

Question: Which of these has the lowest E_tot?
Answer: CuSbPd6

Repeat the third record exactly.
Density functional theory data (PBE) for crystalline Cu2SbPd8 at its relaxed geometry.

Unit cell a=14.005 b=4.067 c=6.121 alpha=90.00 beta=105.06 gamma=90.00
Space group C2/m (No. 12)
Unique sites:
Cu 0.226 0.000 0.140 (multiplicity 4)
Sb 0.000 0.500 0.500 (multiplicity 2)
Pd 0.046 0.000 0.231 (multiplicity 4)
Pd 0.097 0.500 0.961 (multiplicity 4)
Pd 0.146 0.000 0.703 (multiplicity 4)
Pd 0.182 0.500 0.419 (multiplicity 4)

E_tot, eV/atom: -5.096
ΔE_f (raw), eV/atom: -0.20
DOS(E_F), states/eV per cell: 17.82
Energy relative to the lowest polymorph listed for this composition, kJ/mol of atoms: 0.0